LaZnPd2: relaxed, PBE.

The structure in POSCAR format:
```
LaZnPd2
1.0
-0.109 3.362 0.233
-1.238 -0.257 3.126
6.329 0.031 2.509
Zn Pd La
1 2 1
direct
0.500 0.500 0.000
0.000 0.000 0.798
0.000 0.000 0.202
0.500 0.500 0.500
```

Results
- Volume: 19.353 A^3/atom
- SG: P4/mmm
- Crystal system: tetragonal
- Calculated total energy: -18.89 eV for the cell shown

***

CrFeOs2Pt: relaxed, PBE.

The structure in POSCAR format:
```
CrFeOs2Pt
1.0
-4.324 -0.533 0.468
0.562 -1.120 3.915
-0.380 4.182 1.251
Cr Os Fe Pt
1 2 1 1
direct
0.000 0.500 0.000
0.000 0.000 0.500
0.500 0.000 0.000
0.000 0.000 0.000
0.500 0.500 0.500
```

Results
- Volume: 15.782 A^3/atom
- SG: P4/mmm
- Crystal system: tetragonal
- Calculated total energy: -39.59 eV for the cell shown

***

DyErZnAg: relaxed, PBE.

The structure in POSCAR format:
```
DyErZnAg
1.0
-4.773 0.879 1.480
-1.250 -0.396 4.902
-1.099 4.165 2.682
Zn Dy Ag Er
1 1 1 1
direct
0.750 0.750 0.750
0.000 0.000 0.000
0.250 0.250 0.250
0.500 0.500 0.500
```

Results
- Volume: 23.096 A^3/atom
- SG: F-43m
- Crystal system: cubic
- Calculated total energy: -14.60 eV for the cell shown

***

Ca3ReP: relaxed, PBE.

The structure in POSCAR format:
```
Ca3ReP
1.0
-2.727 -4.564 0.128
1.140 -0.536 5.167
-4.421 2.677 1.253
Re Ca P
1 3 1
direct
0.000 0.000 0.000
0.000 0.500 0.000
0.000 0.000 0.500
0.500 0.000 0.000
0.500 0.500 0.500
```

Results
- Volume: 30.083 A^3/atom
- SG: Pm-3m
- Crystal system: cubic
- Calculated total energy: -19.99 eV for the cell shown

***

Hf2TlCoBi: relaxed, PBE.

The structure in POSCAR format:
```
Hf2TlCoBi
1.0
-1.157 4.584 -1.184
-4.449 -1.506 -1.484
-1.743 0.721 4.494
Co Tl Hf Bi
1 1 2 1
direct
0.000 0.000 0.000
0.000 0.500 0.000
0.000 0.000 0.500
0.500 0.000 0.000
0.500 0.500 0.500
```

Results
- Volume: 23.398 A^3/atom
- SG: P4/mmm
- Crystal system: tetragonal
- Calculated total energy: -32.62 eV for the cell shown

***

Na9AgHg2: relaxed, PBE.

The structure in POSCAR format:
```
Na9AgHg2
1.0
-1.181 -8.797 3.106
4.776 -4.368 -3.102
3.893 -1.407 5.091
Na Ag Hg
9 1 2
direct
0.342 0.053 0.748
0.658 0.947 0.252
0.500 0.500 0.500
0.680 0.601 0.839
0.775 0.069 0.696
0.094 0.633 0.786
0.320 0.399 0.161
0.906 0.367 0.214
0.225 0.931 0.304
0.000 0.000 0.000
0.030 0.292 0.630
0.970 0.708 0.370
```

Results
- Volume: 31.960 A^3/atom
- SG: P-1
- Crystal system: triclinic
- Calculated total energy: -16.07 eV for the cell shown

***

GaIrS2: relaxed, PBE.

The structure in POSCAR format:
```
GaIrS2
1.0
1.939 0.000 7.323
-0.969 1.679 7.323
-0.969 -1.679 7.323
S Ir Ga
2 1 1
direct
0.898 0.898 0.898
0.102 0.102 0.102
0.000 0.000 0.000
0.500 0.500 0.500
```

Results
- Volume: 17.883 A^3/atom
- SG: R-3m
- Crystal system: trigonal
- Calculated total energy: -19.88 eV for the cell shown
- E_form (uncorrected): 0.06 eV per atom

***

NaVC2Se: relaxed, PBE.

The structure in POSCAR format:
```
NaVC2Se
1.0
-0.315 0.459 -4.053
4.162 -2.525 -0.609
-2.143 -3.478 -0.227
Na C Se V
1 2 1 1
direct
0.000 0.000 0.000
0.000 0.000 0.500
0.500 0.000 0.000
0.000 0.500 0.000
0.500 0.500 0.500
```

Results
- Volume: 16.427 A^3/atom
- SG: P4/mmm
- Crystal system: tetragonal
- Calculated total energy: -18.02 eV for the cell shown
- E_form (uncorrected): 2.87 eV per atom

***

Cd2BiSb: relaxed, PBE.

The structure in POSCAR format:
```
Cd2BiSb
1.0
-2.794 -1.181 -3.005
0.820 -3.390 -2.463
-3.985 -5.797 2.951
Sb Bi Cd
1 1 2
direct
0.000 0.000 0.000
0.500 0.500 0.500
0.255 0.255 0.234
0.745 0.745 0.766
```

Results
- Volume: 28.493 A^3/atom
- SG: R-3m
- Crystal system: trigonal
- Calculated total energy: -9.40 eV for the cell shown
- E_form (uncorrected): 0.11 eV per atom

***

Y2OsCl: relaxed, PBE.

The structure in POSCAR format:
```
Y2OsCl
1.0
-0.779 -10.246 -2.341
0.659 -10.491 0.755
-2.736 -10.167 0.465
Cl Os Y
1 1 2
direct
0.513 0.513 0.513
0.738 0.738 0.738
0.010 0.010 0.010
0.240 0.240 0.240
```

Results
- Volume: 26.257 A^3/atom
- SG: R3m
- Crystal system: trigonal
- Calculated total energy: -25.96 eV for the cell shown
- E_form (uncorrected): 0.01 eV per atom

***

TmZrGa2: relaxed, PBE.

The structure in POSCAR format:
```
TmZrGa2
1.0
3.559 0.000 0.000
0.000 3.559 0.000
0.000 0.000 6.466
Tm Ga Zr
1 2 1
direct
0.500 0.500 0.500
0.000 0.000 0.768
0.000 0.000 0.232
0.500 0.500 0.000
```

Results
- Volume: 20.479 A^3/atom
- SG: P4/mmm
- Crystal system: tetragonal
- Calculated total energy: -21.00 eV for the cell shown

***

MnAlReNi: relaxed, PBE.

The structure in POSCAR format:
```
MnAlReNi
1.0
4.176 0.000 0.000
2.088 3.617 0.000
2.088 1.206 3.410
Re Mn Al Ni
1 1 1 1
direct
0.750 0.750 0.750
0.500 0.500 0.500
0.000 0.000 0.000
0.250 0.250 0.250
```

Results
- Volume: 12.874 A^3/atom
- SG: F-43m
- Crystal system: cubic
- Calculated total energy: -31.80 eV for the cell shown

***

InOsRh2: relaxed, PBE.

The structure in POSCAR format:
```
InOsRh2
1.0
1.422 4.541 -0.004
-1.422 4.541 -0.004
0.000 0.804 4.844
In Os Rh
1 1 2
direct
0.500 0.500 0.000
0.000 0.000 0.500
0.255 0.255 0.732
0.745 0.745 0.268
```

Results
- Volume: 15.642 A^3/atom
- SG: C2/m
- Crystal system: monoclinic
- Calculated total energy: -28.15 eV for the cell shown

***

Sc4Ag3Ir: relaxed, PBE.

The structure in POSCAR format:
```
Sc4Ag3Ir
1.0
3.359 0.000 0.000
0.000 3.359 0.000
0.000 0.000 13.743
Sc Ir Ag
4 1 3
direct
0.000 0.000 0.889
0.000 0.000 0.111
0.000 0.000 0.370
0.000 0.000 0.630
0.500 0.500 0.000
0.500 0.500 0.244
0.500 0.500 0.500
0.500 0.500 0.756
```

Results
- Volume: 19.383 A^3/atom
- SG: P4/mmm
- Crystal system: tetragonal
- Calculated total energy: -46.43 eV for the cell shown

***

Nd3Sm6Tl2: relaxed, PBE.

The structure in POSCAR format:
```
Nd3Sm6Tl2
1.0
-1.110 0.707 -4.455
3.949 -2.066 -1.312
-9.828 -15.128 2.471
Nd Sm Tl
3 6 2
direct
0.000 0.000 0.000
0.832 0.832 0.664
0.168 0.168 0.336
0.081 0.581 0.162
0.581 0.081 0.162
0.919 0.419 0.838
0.419 0.919 0.838
0.728 0.728 0.456
0.272 0.272 0.544
0.358 0.358 0.716
0.642 0.642 0.284
```

Results
- Volume: 35.142 A^3/atom
- SG: I4/mmm
- Crystal system: tetragonal
- Calculated total energy: -45.94 eV for the cell shown

***

Ca2NpPN5: relaxed, PBE.

The structure in POSCAR format:
```
Ca2NpPN5
1.0
-2.110 -0.012 2.619
5.234 -4.254 2.038
5.318 8.615 4.323
Ca Np P N
4 2 2 10
direct
0.870 0.740 0.843
0.085 0.170 0.653
0.130 0.260 0.343
0.915 0.830 0.153
0.794 0.588 0.546
0.206 0.412 0.046
0.563 0.125 0.911
0.437 0.875 0.411
0.346 0.693 0.013
0.684 0.368 0.912
0.504 0.008 0.788
0.289 0.578 0.664
0.958 0.916 0.493
0.654 0.307 0.513
0.316 0.632 0.412
0.496 0.992 0.288
0.711 0.422 0.164
0.042 0.084 0.993
```

Results
- Volume: 14.074 A^3/atom
- SG: Cmc2_1
- Crystal system: orthorhombic
- Calculated total energy: -142.57 eV for the cell shown
- E_form (uncorrected): -0.81 eV per atom

***

Ho3Cd5: relaxed, PBE.

The structure in POSCAR format:
```
Ho3Cd5
1.0
-0.710 -3.115 -2.185
5.987 -3.725 3.365
-7.160 -0.530 3.082
Ho Cd
3 5
direct
0.500 0.000 0.608
0.500 0.608 0.000
0.500 0.392 0.392
0.000 0.667 0.333
0.000 0.333 0.667
0.000 0.000 0.233
0.000 0.233 0.000
0.000 0.767 0.767
```

Results
- Volume: 25.573 A^3/atom
- SG: P-62m
- Crystal system: hexagonal
- Calculated total energy: -20.17 eV for the cell shown

***

La2MgRu: relaxed, PBE.

The structure in POSCAR format:
```
La2MgRu
1.0
5.871 0.015 0.001
1.750 5.605 -0.001
-3.155 -3.699 3.292
La Mg Ru
2 1 1
direct
0.053 0.053 0.000
0.447 0.447 0.000
0.750 0.250 0.500
0.250 0.750 0.500
```

Results
- Volume: 27.057 A^3/atom
- SG: Immm
- Crystal system: orthorhombic
- Calculated total energy: -21.12 eV for the cell shown

***

NaLaHoCd: relaxed, PBE.

The structure in POSCAR format:
```
NaLaHoCd
1.0
-4.543 -3.145 -0.019
-0.051 -4.763 -2.800
-0.045 -4.806 2.725
Na Cd Ho La
1 1 1 1
direct
0.250 0.250 0.250
0.750 0.750 0.750
0.000 0.000 0.000
0.500 0.500 0.500
```

Results
- Volume: 29.820 A^3/atom
- SG: F-43m
- Crystal system: cubic
- Calculated total energy: -11.65 eV for the cell shown

***

K5Tl3Cl12: relaxed, PBE.

The structure in POSCAR format:
```
K5Tl3Cl12
1.0
15.871 0.000 0.000
-5.290 14.963 0.000
-5.290 -7.482 12.959
Tl K Cl
12 20 48
direct
0.750 0.375 0.125
0.875 0.750 0.125
0.375 0.750 0.625
0.250 0.125 0.375
0.875 0.125 0.250
0.375 0.625 0.250
0.625 0.375 0.750
0.125 0.875 0.750
0.750 0.875 0.625
0.625 0.250 0.375
0.125 0.250 0.875
0.250 0.625 0.875
0.125 0.375 0.250
0.000 0.500 0.000
0.000 0.000 0.000
0.375 0.250 0.125
0.500 0.000 0.500
0.500 0.500 0.000
0.125 0.750 0.375
0.750 0.125 0.875
0.750 0.625 0.375
0.375 0.125 0.750
0.625 0.875 0.250
0.500 0.500 0.500
0.500 0.000 0.000
0.000 0.000 0.500
0.250 0.375 0.625
0.250 0.875 0.125
0.000 0.500 0.500
0.875 0.250 0.625
0.625 0.750 0.875
0.875 0.625 0.750
0.613 0.182 0.975
0.362 0.475 0.293
0.025 0.318 0.387
0.475 0.113 0.182
0.430 0.613 0.638
0.025 0.707 0.138
0.362 0.887 0.570
0.207 0.070 0.182
0.707 0.025 0.638
0.613 0.430 0.138
0.887 0.525 0.318
0.862 0.793 0.975
0.182 0.613 0.475
0.318 0.293 0.930
0.930 0.793 0.318
0.570 0.182 0.707
0.930 0.138 0.113
0.525 0.638 0.207
0.862 0.070 0.387
0.182 0.570 0.207
0.318 0.025 0.887
0.707 0.682 0.570
0.793 0.862 0.475
0.887 0.362 0.070
0.293 0.318 0.430
0.207 0.138 0.525
0.113 0.638 0.930
0.138 0.930 0.613
0.682 0.975 0.113
0.818 0.430 0.793
0.475 0.362 0.793
0.430 0.818 0.293
0.070 0.862 0.887
0.070 0.207 0.682
0.818 0.387 0.525
0.138 0.207 0.025
0.682 0.707 0.070
0.293 0.975 0.362
0.387 0.570 0.862
0.113 0.475 0.682
0.793 0.930 0.818
0.638 0.113 0.430
0.525 0.887 0.818
0.975 0.293 0.862
0.570 0.387 0.362
0.975 0.682 0.613
0.638 0.525 0.707
0.387 0.818 0.025
```

Results
- Volume: 38.469 A^3/atom
- SG: Ia-3d
- Crystal system: cubic
- Calculated total energy: -239.09 eV for the cell shown
- E_form (uncorrected): -1.25 eV per atom